[1]
Density functional theory data (PBE) for a relaxed structure of YHfFe2C.

ΔE_f, eV/atom: 2.02
VASP energy, eV per atom: -6.4937
Density, g/cm³: 7.3

Unit cell a=4.543 b=4.320 c=4.543 alpha=90.00 beta=90.00 gamma=90.00
Sites, in units of the cell vectors:
Fe (0.500, 0.000, 0.000)
Fe (0.000, 0.000, 0.500)
C (0.000, 0.500, 0.000)
Hf (0.500, 0.500, 0.500)
Y (0.000, 0.000, 0.000)

***

[2]
Density functional theory data (PBE) for a relaxed structure of Ac2Au2N.

Formation energy from raw total energies, eV/atom: -0.792
VASP energy, eV per atom: -5.4113
Density, g/cm³: 11.1

Unit cell a=4.425 b=4.425 c=13.550 alpha=99.40 beta=99.40 gamma=90.00
Sites, in units of the cell vectors:
Au (0.842, 0.842, 0.685)
Au (0.408, 0.908, 0.815)
Au (0.158, 0.158, 0.315)
Au (0.092, 0.592, 0.185)
Ac (0.953, 0.453, 0.906)
Ac (0.703, 0.703, 0.406)
Ac (0.297, 0.297, 0.594)
Ac (0.547, 0.047, 0.094)
N (0.750, 0.250, 0.500)
N (0.500, 0.500, 0.000)

***

[3]
Density functional theory data (PBE) for a relaxed structure of Cu2NiRu.

Excess energy over the best structure of this formula in the dataset, meV per atom: 106.4
ΔE_f, eV/atom: 0.22
VASP energy, eV per atom: -5.5881
Density, g/cm³: 9.6

Unit cell a=4.435 b=4.435 c=4.435 alpha=130.34 beta=130.34 gamma=72.86
Each line ends with the local moment (μB).
Sites, in units of the cell vectors:
Ni (0.500, 0.500, 0.000)  0.70
Cu (0.000, 0.000, 0.000)  0.09
Cu (0.250, 0.750, 0.500)  0.10
Ru (0.750, 0.250, 0.500)  1.10

***

[4]
Density functional theory data (PBE) for a relaxed structure of DyTmSe2O8.

Formation energy from raw total energies, eV/atom: -1.824
VASP energy, eV per atom: -6.4660
Density, g/cm³: 6.9

Unit cell a=5.148 b=5.148 c=6.707 alpha=112.57 beta=112.57 gamma=90.00
Sites, in units of the cell vectors:
Dy (0.750, 0.250, 0.500)
O (0.621, 0.674, 0.674)
O (0.000, 0.379, 0.326)
O (0.737, 0.810, 0.156)
O (0.419, 0.346, 0.156)
O (0.053, 0.000, 0.674)
O (0.326, 0.947, 0.326)
O (0.190, 0.581, 0.844)
O (0.654, 0.263, 0.844)
Se (0.250, 0.750, 0.500)
Se (0.500, 0.500, 0.000)
Tm (0.000, 0.000, 0.000)

***

- Which formula does entry 3 have?
  Cu2NiRu